(1)
This record from the Alexandria database describes a relaxed Rb3Y2BiTe6 crystal. The functional is PBE.

The value obtained for the density of states at the Fermi level is 0.00 states/eV/cell. The total energy is -4.350 eV per atom. As for the space-group type: C2/m (12). For the total magnetization, the calculation gives 0.000 μB per cell.

abc: 7.9170 7.9170 8.9429
angles: 98.49 98.49 120.00
Element x y z (fractional)
Rb (0.0000, 0.0000, 0.0000)
Rb (0.3350, 0.6650, 0.0000)
Rb (0.6650, 0.3350, 0.0000)
Y (0.1669, 0.8331, 0.5000)
Y (0.8331, 0.1669, 0.5000)
Bi (0.5000, 0.5000, 0.5000)
Te (0.0950, 0.4332, 0.2998)
Te (0.2282, 0.2282, 0.6997)
Te (0.4332, 0.0950, 0.2998)
Te (0.5668, 0.9050, 0.7002)
Te (0.7718, 0.7718, 0.3003)
Te (0.9050, 0.5668, 0.7002)

---

(2)
This record from the Alexandria database describes a relaxed RbZnBiTe3 crystal. The functional is PBE.

The total energy is -3.153 eV per atom. As for the space-group type: P2_1/m (11). For the total magnetization, the calculation gives 0.000 μB per cell.

abc: 10.2566 4.4902 10.6183
angles: 90.00 108.13 90.00
Element x y z (fractional)
Rb (0.1991, 0.2500, 0.2422)
Rb (0.8009, 0.7500, 0.7578)
Zn (0.0817, 0.2500, 0.6064)
Zn (0.9183, 0.7500, 0.3936)
Bi (0.3338, 0.7500, 0.8673)
Bi (0.6662, 0.2500, 0.1327)
Te (0.1174, 0.2500, 0.8661)
Te (0.1956, 0.7500, 0.5331)
Te (0.4591, 0.7500, 0.1641)
Te (0.5409, 0.2500, 0.8359)
Te (0.8044, 0.2500, 0.4669)
Te (0.8826, 0.7500, 0.1339)

---

(3)
This record from the Alexandria database describes a relaxed RbTi2Bi crystal. The functional is PBE.

The value obtained for the density of states at the Fermi level is 8.19 states/eV/cell. Its formation energy is 0.711 eV per atom. As for the space-group type: I-42d (122). For the total magnetization, the calculation gives 0.000 μB per cell.

abc: 10.9488 10.9488 10.9488
angles: 153.16 153.16 38.32
Element x y z (fractional)
Rb (0.0000, 0.0000, 0.0000)
Rb (0.7500, 0.2500, 0.5000)
Ti (0.3632, 0.6250, 0.2382)
Ti (0.3750, 0.6132, 0.7382)
Ti (0.3868, 0.1250, 0.7618)
Ti (0.8750, 0.6368, 0.2618)
Bi (0.2500, 0.7500, 0.5000)
Bi (0.5000, 0.5000, 0.0000)

---

(4)
This record from the Alexandria database describes a relaxed RbTiBi crystal. The functional is PBE.

The value obtained for the density of states at the Fermi level is 4.07 states/eV/cell. Its formation energy is -0.037 eV per atom. As for the space-group type: R-3m (166). For the total magnetization, the calculation gives 2.583 μB per cell.

abc: 13.9607 13.9607 13.9607
angles: 18.77 18.77 18.77
Element x y z (fractional)
Rb (0.1122, 0.1122, 0.1122)
Rb (0.8878, 0.8878, 0.8878)
Ti (0.3133, 0.3133, 0.3133)
Ti (0.6867, 0.6867, 0.6867)
Bi (0.3831, 0.3831, 0.3831)
Bi (0.6169, 0.6169, 0.6169)

---

(5)
This record from the Alexandria database describes a relaxed Rb2TiBi crystal. The functional is PBE.

The value obtained for the density of states at the Fermi level is 14.74 states/eV/cell. Its formation energy is 0.353 eV per atom. As for the space-group type: I-42d (122). For the total magnetization, the calculation gives 4.617 μB per cell.

abc: 10.2222 10.2222 10.2222
angles: 94.14 94.14 148.83
Element x y z (fractional)
Rb (0.3750, 0.0489, 0.1739)
Rb (0.7989, 0.6250, 0.6739)
Rb (0.8750, 0.2011, 0.8261)
Rb (0.9511, 0.1250, 0.3261)
Ti (0.2500, 0.7500, 0.5000)
Ti (0.5000, 0.5000, 0.0000)
Bi (0.0000, 0.0000, 0.0000)
Bi (0.7500, 0.2500, 0.5000)

---

(6)
This record from the Alexandria database describes a relaxed RbTi2Bi2 crystal. The functional is PBE.

The value obtained for the density of states at the Fermi level is 6.03 states/eV/cell. Its formation energy is -0.112 eV per atom. As for the space-group type: I4/mmm (139). The value obtained for the energy above the most stable polymorph in this dataset is 0 meV/atom. For the total magnetization, the calculation gives 0.000 μB per cell.

abc: 8.4157 8.4157 8.4157
angles: 148.72 148.72 44.82
Element x y z (fractional)
Rb (0.0000, 0.0000, 0.0000)
Ti (0.2500, 0.7500, 0.5000)
Ti (0.7500, 0.2500, 0.5000)
Bi (0.3597, 0.3597, 0.0000)
Bi (0.6403, 0.6403, 0.0000)